[1]
A plane-wave DFT calculation with PBE+U was carried out for a relaxed ZrNbCrF2 crystal.

abc: 3.894 3.894 6.235
angles: 90.00 90.00 90.00
Fractional positions:
Zr (0.000, 0.000, 0.000)
Nb (0.500, 0.500, 0.000)
Cr (0.500, 0.500, 0.500)
F (0.000, 0.500, 0.500)
F (0.500, 0.000, 0.500)

[2]
A plane-wave DFT calculation with PBE+U was carried out for a relaxed NdCrF5 crystal.

abc: 5.909 5.909 7.670
angles: 108.21 108.21 76.77
Fractional positions:
Nd (0.057, 0.943, 0.750)
Nd (0.943, 0.057, 0.250)
Cr (0.500, 0.500, 0.000)
Cr (0.500, 0.500, 0.500)
F (0.166, 0.813, 0.036)
F (0.187, 0.834, 0.464)
F (0.236, 0.298, 0.377)
F (0.298, 0.236, 0.877)
F (0.386, 0.614, 0.750)
F (0.614, 0.386, 0.250)
F (0.702, 0.764, 0.123)
F (0.764, 0.702, 0.623)
F (0.813, 0.166, 0.536)
F (0.834, 0.187, 0.964)

[3]
A plane-wave DFT calculation with PBE+U was carried out for a relaxed NdCr2F8 crystal.

abc: 6.253 6.253 4.374
angles: 92.72 92.72 72.91
Fractional positions:
Nd (0.000, 0.000, 0.000)
Cr (0.383, 0.383, 0.736)
Cr (0.617, 0.617, 0.264)
F (0.130, 0.658, 0.747)
F (0.188, 0.188, 0.731)
F (0.342, 0.870, 0.253)
F (0.414, 0.414, 0.242)
F (0.586, 0.586, 0.758)
F (0.658, 0.130, 0.747)
F (0.812, 0.812, 0.269)
F (0.870, 0.342, 0.253)

[4]
A plane-wave DFT calculation with PBE+U was carried out for a relaxed Nd2CrF8 crystal.

abc: 7.739 7.739 5.718
angles: 108.42 108.42 27.31
Fractional positions:
Nd (0.174, 0.174, 0.185)
Nd (0.826, 0.826, 0.815)
Cr (0.500, 0.500, 0.500)
F (0.039, 0.039, 0.338)
F (0.220, 0.220, 0.828)
F (0.322, 0.322, 0.536)
F (0.408, 0.408, 0.054)
F (0.592, 0.592, 0.946)
F (0.678, 0.678, 0.464)
F (0.780, 0.780, 0.172)
F (0.961, 0.961, 0.662)

| no. | E (eV/atom) |
| --- | --- |
| 1 | -6.297 |
| 2 | -6.504 |
| 3 | -6.248 |
| 4 | -6.516 |